(1)
The following is a DFT calculation (PBE) of Sm7Y2Ho4 after structural relaxation.

The structure in extended XYZ format:
```
13
Lattice="-3.3280 -8.8041 1.2277 1.1950 -4.9569 -6.1911 5.4391 -0.9332 2.8431" Properties=species:S:1:pos:R:3 pbc="T T T"
Sm 4.5680 -4.0603 -1.0516
Sm -1.2619 -10.6339 -1.0687
Sm 0.0000 0.0000 0.0000
Sm 3.7252 -11.1587 -1.7567
Sm -0.4191 -3.5354 -0.3636
Sm 1.2254 -8.9121 -3.0042
Sm 2.0807 -5.7821 0.8839
Y -0.8347 -7.0904 -0.7115
Y 4.1408 -7.6038 -1.4089
Ho 2.5066 -2.2246 1.2471
Ho 0.7995 -12.4695 -3.3675
Ho 1.6630 -9.3235 0.5446
Ho 1.6431 -5.3707 -2.6649
```

Calculated values
space group = No. 2

(2)
The following is a DFT calculation (PBE) of SmY14Ho after structural relaxation.

The structure in extended XYZ format:
```
16
Lattice="7.0845 0.9506 0.0000 -0.9504 7.0845 0.0000 0.0000 0.0000 10.0766" Properties=species:S:1:pos:R:3 pbc="T T T"
Sm 6.0812 1.7165 0.0000
Y 2.0631 4.7840 5.0383
Y 6.0794 1.7179 5.0383
Y 5.6042 5.2582 0.0000
Y 5.6055 5.2607 5.0383
Y 2.5390 1.2432 0.0000
Y 2.5369 1.2412 5.0383
Y 3.5928 6.7886 7.5613
Y 3.5928 6.7886 2.5153
Y 0.5326 2.7800 7.5613
Y 0.5326 2.7800 2.5153
Y 0.0583 6.3145 7.5617
Y 0.0583 6.3145 2.5150
Y 4.0670 3.2542 7.5606
Y 4.0670 3.2542 2.5160
Ho 2.0621 4.7848 0.0000
```

Calculated values
space group = No. 123

(3)
The following is a DFT calculation (PBE) of Sm8Y2Ho after structural relaxation.

The structure in extended XYZ format:
```
11
Lattice="-2.5138 2.2427 5.8650 4.8152 1.9129 11.0518 3.8957 8.0436 8.3134" Properties=species:S:1:pos:R:3 pbc="T T T"
Sm 3.8377 8.2266 13.1804
Sm 1.9265 6.8591 10.7606
Sm 6.5101 8.4270 16.6801
Sm -0.3130 3.7722 8.5502
Sm 4.2707 5.3401 14.4697
Sm 2.3594 3.9726 12.0500
Sm 2.9016 7.9098 16.7339
Sm 3.2955 4.2894 8.4964
Y 4.6063 9.3281 19.3367
Y 1.5909 2.8712 5.8937
Ho 0.0000 0.0000 0.0000
```

Calculated values
space group = No. 12

(4)
The following is a DFT calculation (PBE) of Sm2Y15Ho2 after structural relaxation.

The structure in extended XYZ format:
```
19
Lattice="-2.4173 7.7369 3.3863 0.7460 5.2012 -7.0399 -8.3666 0.4296 -2.6429" Properties=species:S:1:pos:R:3 pbc="T T T"
Sm -0.9639 1.2837 -0.6047
Sm -9.0739 12.0840 -5.6918
Y -4.1833 0.2148 -1.3214
Y -1.2086 3.8684 1.6932
Y 0.3730 2.6006 -3.5200
Y -0.2081 5.9661 -3.8950
Y -5.6180 1.8688 -3.9692
Y -4.2118 5.5328 1.5677
Y -2.0026 3.7619 -5.7136
Y -6.5721 2.6337 -0.8243
Y -1.4631 6.9720 0.2415
Y -2.3075 8.1815 -2.6898
Y -5.1446 4.6968 -5.5650
Y -6.6531 5.9060 -0.5930
Y -7.7303 5.1862 -3.6066
Y -4.8932 8.6708 -0.7314
Y -3.3847 7.4616 -5.7035
Ho -3.2148 4.2813 -2.0166
Ho -6.8230 9.0864 -4.2799
```

Calculated values
space group = No. 166

(5)
The following is a DFT calculation (PBE) of Sm5Y2Ho3 after structural relaxation.

The structure in extended XYZ format:
```
20
Lattice="9.4173 -2.1175 -2.6124 -3.3593 8.9874 -2.8279 -0.6046 -0.5218 9.0986" Properties=species:S:1:pos:R:3 pbc="T T T"
Sm -0.0218 3.3321 6.7897
Sm 5.4753 3.0161 -3.1314
Sm 6.4924 4.2382 -0.4556
Sm 3.4738 0.8158 2.2920
Sm -1.0389 2.1100 4.1139
Sm 1.9797 5.5324 1.3663
Sm 5.6784 3.4264 2.8048
Sm -0.2249 2.9218 0.8536
Sm 2.6979 -0.0781 5.5382
Sm 2.7555 6.4263 -1.8799
Y 8.6278 -2.1838 4.2300
Y -3.1743 8.5320 -0.5717
Y -0.2605 5.5213 4.0893
Y 5.7139 0.8269 -0.4310
Ho 2.4664 -0.3947 -0.3582
Ho 2.9870 6.7428 4.0165
Ho 3.2455 2.9882 -0.4450
Ho 2.2079 3.3600 4.1034
Ho -0.6863 6.3942 -0.5062
Ho 6.1398 -0.0460 4.1645
```

Calculated values
space group = No. 15

(6)
The following is a DFT calculation (PBE) of Sm3Y4Ho2 after structural relaxation.

The structure in extended XYZ format:
```
9
Lattice="-1.2842 -2.6230 -2.0666 5.3117 1.8776 -2.5869 11.9967 -8.6304 3.4988" Properties=species:S:1:pos:R:3 pbc="T T T"
Sm 9.7888 -4.4355 -0.4533
Sm 0.0000 0.0000 0.0000
Sm 6.2353 -4.9402 -0.7014
Y 2.2507 -2.0847 -1.8495
Y 8.0084 -5.7563 2.3294
Y 8.0157 -3.6194 -3.4841
Y 13.7735 -7.2910 0.6948
Ho 5.7664 -1.5290 -1.6427
Ho 10.2577 -7.8468 0.4880
```

Calculated values
space group = No. 12

(7)
The following is a DFT calculation (PBE) of SmY3Ho3 after structural relaxation.

The structure in extended XYZ format:
```
7
Lattice="8.2203 0.0000 0.0000 -2.7401 5.6922 0.0000 -2.7401 -2.8461 4.9296" Properties=species:S:1:pos:R:3 pbc="T T T"
Sm 4.6214 0.0000 0.0000
Y -3.1678 1.7067 2.9561
Y 2.3125 -1.1394 1.9735
Y 2.3125 2.2788 0.0000
Ho 1.5588 1.8493 3.2031
Ho 7.0390 -0.9968 1.7264
Ho 7.0390 1.9935 0.0000
```

Calculated values
space group = No. 160

(8)
The following is a DFT calculation (PBE) of Sm2Y3Ho9 after structural relaxation.

The structure in extended XYZ format:
```
14
Lattice="-2.3724 -5.9446 -0.3151 2.5502 -7.1615 6.9556 -4.5948 -7.4562 11.3264" Properties=species:S:1:pos:R:3 pbc="T T T"
Sm -2.8256 -10.2597 10.2446
Sm -1.6207 -10.7645 7.2339
Y -6.4070 -13.4287 11.1321
Y -1.2515 -7.7345 5.6726
Y -3.1074 -12.6858 12.3894
Ho -1.1138 -7.4197 9.2061
Ho -1.6997 -14.8820 14.8639
Ho -0.2807 -12.7689 10.1808
Ho -3.5171 -17.6220 16.4618
Ho -1.0795 -2.8127 1.5851
Ho -2.0395 -15.5594 11.3643
Ho -2.4793 -4.9133 6.7921
Ho -4.8422 -15.5382 13.5858
Ho 0.3227 -4.8552 4.1967
```

Calculated values
space group = No. 1

(9)
The following is a DFT calculation (PBE) of Sm3Y4Ho3 after structural relaxation.

The structure in extended XYZ format:
```
10
Lattice="3.6900 0.0000 0.0000 0.0000 9.4338 -0.0573 0.0000 0.0257 9.4340" Properties=species:S:1:pos:R:3 pbc="T T T"
Sm 1.8450 7.8072 1.5838
Sm 1.8450 3.0838 3.0667
Sm 1.8450 6.3658 6.3200
Y 0.0000 5.9143 3.4933
Y 0.0000 3.5386 5.8901
Y 0.0000 8.2900 8.1849
Y 0.0000 1.2021 1.1590
Ho 0.0000 4.7054 9.3917
Ho 0.0000 0.0268 4.7541
Ho 1.8450 1.6596 7.7856
```

Calculated values
space group = No. 38

(10)
The following is a DFT calculation (PBE) of Sm4Y2Ho after structural relaxation.

The structure in extended XYZ format:
```
14
Lattice="-0.9020 -1.3504 -3.1585 -2.1510 -9.0973 6.5004 -11.3736 3.8376 1.6073" Properties=species:S:1:pos:R:3 pbc="T T T"
Sm -3.0997 -5.0358 1.0414
Sm -6.0564 -4.0381 1.4593
Sm -11.3268 -1.5743 3.9077
Sm -8.3701 -2.5719 3.4899
Sm -11.3753 -6.7888 4.1542
Sm -3.0513 0.1787 0.7950
Sm -0.4510 -0.6752 -1.5793
Sm -6.1378 1.2436 -0.7756
Y -6.2464 -0.5746 2.0295
Y -13.6755 -4.1812 3.6963
Y -0.7510 -2.4289 1.2529
Y -8.1801 -6.0355 2.9197
Ho -9.5700 -0.0086 0.7399
Ho -4.8565 -6.6015 4.2093
```

Calculated values
space group = No. 63

(11)
The following is a DFT calculation (PBE) of Sm3Y7Ho after structural relaxation.

The structure in extended XYZ format:
```
11
Lattice="-8.2553 -2.0747 1.6093 2.1535 -5.4887 3.9709 -1.0173 6.3679 2.9910" Properties=species:S:1:pos:R:3 pbc="T T T"
Sm -5.8929 -1.1803 4.7399
Sm -6.4006 1.9979 6.2327
Sm -6.9677 1.5591 2.7581
Y -1.4693 4.1311 3.3472
Y -0.9641 0.9687 1.8619
Y 0.1122 -1.7839 3.8361
Y -2.0754 -4.4322 4.5276
Y -3.1469 -1.7014 2.5519
Y -2.5816 -1.2639 6.0157
Y -0.3999 1.4053 5.3192
Ho -3.6491 1.4887 4.0367
```

Calculated values
space group = No. 156

(12)
The following is a DFT calculation (PBE) of Sm8Y3Ho3 after structural relaxation.

The structure in extended XYZ format:
```
14
Lattice="-2.5383 -1.2862 -4.8857 7.0213 -2.3032 -6.3107 -4.4038 -8.5679 1.2743" Properties=species:S:1:pos:R:3 pbc="T T T"
Sm -3.3253 -5.9633 -3.2449
Sm 3.4045 -6.1940 -6.6772
Sm 1.7751 -3.1666 -6.6310
Sm -1.6959 -8.9907 -3.2911
Sm 0.7871 -7.6188 -8.2141
Sm -0.7080 -4.5385 -1.7080
Sm -1.5819 -8.9178 -6.6413
Sm 1.6610 -3.2395 -3.2807
Y -1.2691 -0.6431 -2.4428
Y 4.9688 -3.4286 -4.9481
Y -2.3514 -7.4425 -0.0883
Ho 0.0396 -6.0787 -4.9610
Ho -1.4994 -3.2181 -4.9165
Ho 1.5785 -8.9392 -5.0056
```

Calculated values
space group = No. 71

(13)
The following is a DFT calculation (PBE) of Sm8Y4Ho3 after structural relaxation.

The structure in extended XYZ format:
```
15
Lattice="-1.9835 -2.0277 -6.2930 -5.8372 -3.0008 6.3700 -3.6553 8.1169 2.1001" Properties=species:S:1:pos:R:3 pbc="T T T"
Sm -2.9107 0.6783 0.2787
Sm -5.1893 0.3006 5.1021
Sm -4.4686 -0.1416 -2.6520
Sm -6.2864 -1.2502 2.1617
Sm -5.1896 4.3385 0.0153
Sm -7.0075 3.2299 4.8290
Sm -4.3033 4.8155 3.3680
Sm -8.5653 2.4101 1.8984
Y -0.9917 -1.0138 -3.1465
Y -2.9186 -1.5004 3.1850
Y 0.0000 0.0000 0.0000
Y -1.8277 4.0584 1.0500
Ho -3.9104 -2.5143 0.0385
Ho -2.8194 3.0446 -2.0965
Ho -5.7380 1.5442 1.0885
```

Calculated values
space group = No. 12

(14)
The following is a DFT calculation (PBE) of Sm4Y15Ho after structural relaxation.

The structure in extended XYZ format:
```
20
Lattice="-1.4758 -3.5478 3.2991 4.0922 0.9331 2.8341 -12.9486 17.4345 12.9569" Properties=species:S:1:pos:R:3 pbc="T T T"
Sm -2.5812 3.4754 2.5828
Sm -5.1747 6.9674 5.1780
Sm -7.7739 10.4671 7.7789
Sm -10.3674 13.9591 10.3741
Y 1.3082 -1.3074 3.0666
Y -1.2688 2.1624 5.6452
Y -3.8669 5.6607 8.2450
Y -6.4652 9.1591 10.8450
Y -9.0633 12.6573 13.4448
Y -2.0190 -0.0490 2.9314
Y -4.6137 3.4446 5.5278
Y -7.2122 6.9433 8.1280
Y -9.8106 10.4420 10.7281
Y -12.4054 13.9357 13.3245
Y 0.7650 2.1914 2.6989
Y -1.8297 5.6851 5.2953
Y -4.4282 9.1838 7.8955
Y -7.0266 12.6825 10.4956
Y -9.6214 16.1761 13.0920
Ho 0.0000 0.0000 0.0000
```

Calculated values
space group = No. 123

(15)
The following is a DFT calculation (PBE) of SmY5Ho12 after structural relaxation.

The structure in extended XYZ format:
```
18
Lattice="15.0221 -0.0086 -0.0136 7.5067 7.5196 -0.0068 0.0042 0.0000 5.0082" Properties=species:S:1:pos:R:3 pbc="T T T"
Sm 0.0001 0.0000 0.0000
Y 7.5132 -0.0043 2.4973
Y 7.5106 5.0069 2.4973
Y 15.0226 2.5041 2.4905
Y 15.0192 5.0108 -0.0136
Y 7.5097 2.5003 -0.0068
Ho 12.5024 -0.0071 2.4923
Ho 2.5240 -0.0014 2.5023
Ho 10.0348 -0.0056 4.9986
Ho 12.4984 7.5167 -0.0108
Ho 10.0312 5.0067 -0.0088
Ho 20.0118 5.0013 4.9898
Ho 2.5213 2.5097 -0.0020
Ho 12.5020 2.5044 4.9966
Ho 10.0309 2.4994 2.4947
Ho 17.5400 5.0095 2.4879
Ho 4.9932 2.5016 2.4999
Ho 12.5022 5.0117 2.4931
```

Calculated values
space group = No. 10

(16)
The following is a DFT calculation (PBE) of Sm2Y5Ho3 after structural relaxation.

The structure in extended XYZ format:
```
20
Lattice="8.3756 1.5318 -3.8832 0.2552 8.4898 -3.9745 -1.6862 -1.8516 10.8459" Properties=species:S:1:pos:R:3 pbc="T T T"
Sm 5.2559 -0.0440 5.0638
Sm 1.6886 8.2140 -2.0756
Sm 2.8880 5.5636 3.4028
Sm 4.0566 2.6065 -0.4145
Y 2.3688 4.8049 -2.5704
Y 4.5757 3.3651 5.5586
Y -0.5477 5.5665 2.7157
Y 3.5318 2.1108 2.8122
Y 7.4923 2.6035 0.2726
Y 3.4127 6.0593 0.1760
Y 6.1965 5.2015 2.4339
Y 0.7481 2.9686 0.5543
Y 2.0167 0.4014 6.2150
Y 4.9278 7.7686 -3.2267
Ho 0.5269 6.8578 5.5430
Ho 6.4176 1.3122 -2.5548
Ho 5.7966 4.6204 -2.0517
Ho 1.1479 3.5497 5.0399
Ho -0.0829 6.1624 -0.5211
Ho 7.0275 2.0077 3.5094
```

Calculated values
space group = No. 15

(17)
The following is a DFT calculation (PBE) of Sm12YHo6 after structural relaxation.

The structure in extended XYZ format:
```
19
Lattice="-4.1702 3.2878 -6.7806 6.0259 -2.9938 -5.3760 -4.3721 -7.3400 -1.0885" Properties=species:S:1:pos:R:3 pbc="T T T"
Sm -1.8978 -2.2320 -8.6473
Sm 0.5320 -4.8592 -7.7113
Sm -3.0393 -5.2436 -6.8283
Sm -0.6186 -4.8140 -4.5978
Sm -3.0483 -2.1869 -5.5338
Sm 0.5230 -1.8024 -6.4168
Sm -0.4584 -3.1896 -1.5585
Sm -3.8034 -6.4965 -9.9505
Sm -0.2435 -6.7414 -10.4966
Sm -2.0579 -3.8564 -11.6866
Sm 1.2871 -0.5495 -3.2946
Sm -2.2728 -0.3047 -2.7485
Y 0.0000 0.0000 0.0000
Ho 1.0360 -2.4770 -10.1961
Ho -1.7757 0.8033 -6.2445
Ho 2.6688 -3.6803 -4.7037
Ho -3.5523 -4.5691 -3.0490
Ho -0.7406 -7.8493 -7.0006
Ho -5.1851 -3.3657 -8.5414
```

Calculated values
space group = No. 148

(18)
The following is a DFT calculation (PBE) of Sm5Y2Ho2 after structural relaxation.

The structure in extended XYZ format:
```
9
Lattice="-2.8710 2.1255 -0.3793 -14.0800 -4.9568 10.8643 -13.9015 1.5786 12.1138" Properties=species:S:1:pos:R:3 pbc="T T T"
Sm -25.1330 -0.2546 18.8290
Sm -5.7195 -0.9981 3.7698
Sm -13.0706 2.1630 8.9771
Sm -17.7819 -3.4157 13.6216
Sm 0.0000 0.0000 0.0000
Y -17.3180 0.1123 12.8406
Y -13.5345 -1.3651 9.7582
Ho -22.8781 -0.7653 15.9872
Ho -7.9744 -0.4875 6.6115
```

Calculated values
space group = No. 12

(19)
The following is a DFT calculation (PBE) of SmY4Ho8 after structural relaxation.

The structure in extended XYZ format:
```
13
Lattice="-4.2728 1.9208 -5.6120 -2.4113 -4.8067 4.9520 0.2669 7.0469 6.9700" Properties=species:S:1:pos:R:3 pbc="T T T"
Sm -1.0722 1.1201 5.9610
Y 0.0000 0.0000 0.0000
Y -1.2057 -2.4033 2.4760
Y -3.3421 -1.4429 -0.3300
Y -2.1364 0.9604 -2.8060
Ho -4.2021 -0.2393 3.1175
Ho -2.2152 4.4004 3.1925
Ho -2.6562 1.9281 0.5782
Ho -4.3036 5.7643 0.4881
Ho -3.7611 2.2329 5.7318
Ho -5.6493 3.0817 3.2518
Ho -0.7679 1.0793 3.0582
Ho -2.1136 -1.6033 5.8219
```

Calculated values
space group = No. 166

no.,ΔH_f (0 K) (meV per atom)
1,17
2,21
3,167
4,305
5,192
6,19
7,247
8,84
9,110
10,214
11,185
12,101
13,349
14,22
15,23
16,189
17,143
18,38
19,204